Record 1
Material: KY2CoPd
Method: DFT, PBE-GGA
State: optimized geometry

Computed properties:
Energy relative to the elements = 1651 meV/atom
Space group = P4/mmm (123)

Cell: 5.2648 4.6933 5.2648 Å, 90.00 90.00 90.00°
Closest atoms and distances in Å follow each position.
Atoms (fractional coordinates):
Y 0.0000 0.0000 0.5000  2 K 2.63
Y 0.5000 0.0000 0.0000  2 K 2.63
Pd 0.0000 0.5000 0.0000  2 K 2.35
Co 0.5000 0.5000 0.5000  8 Y 3.53, 4 Pd 3.72
K 0.0000 0.0000 0.0000  2 Pd 2.35

***

Record 2
Material: Y2Hg2Au
Method: DFT, PBE-GGA
State: optimized geometry

Computed properties:
Energy relative to the elements = -109 meV/atom
Space group = I4/mmm (139)

Cell: 5.7977 5.7977 5.8537 Å, 60.32 60.32 90.00°
Closest atoms and distances in Å follow each position.
Atoms (fractional coordinates):
Y 0.2500 0.7500 0.5000  4 Hg 3.00
Y 0.7500 0.2500 0.5000  4 Hg 3.00
Au 0.0000 0.0000 0.0000  2 Hg 2.85
Hg 0.6585 0.6585 0.6830  1 Hg 2.65, 1 Au 2.85
Hg 0.3415 0.3415 0.3170  1 Hg 2.65, 1 Au 2.85

***

Record 3
Material: Ba2DyCdTe5
Method: DFT, PBE-GGA
State: optimized geometry

Computed properties:
ΔE_f (raw) = -1.239 eV per atom
Space group = Cmc2_1 (36)

Cell: 4.6018 10.4794 14.1043 Å, 90.00 90.00 102.68°
Closest atoms and distances in Å follow each position.
Atoms (fractional coordinates):
Te 0.6457 0.2914 0.5070  1 Dy 3.03
Te 0.0540 0.1080 0.0586  2 Cd 2.84, 1 Dy 3.17
Te 0.2923 0.5846 0.6634  2 Dy 3.10
Te 0.6947 0.3894 0.8657  1 Cd 3.00, 2 Dy 3.14
Te 0.5037 0.0075 0.2647  1 Cd 2.79
Te 0.3543 0.7086 0.0070  1 Dy 3.03
Te 0.7077 0.4154 0.1634  2 Dy 3.10
Te 0.3053 0.6106 0.3657  1 Cd 3.00, 2 Dy 3.14
Te 0.4963 0.9925 0.7647  1 Cd 2.79
Te 0.9460 0.8920 0.5586  2 Cd 2.84, 1 Dy 3.17
Ba 0.1279 0.2557 0.3179  7 Te 3.51-3.69
Ba 0.1172 0.2344 0.6890  7 Te 3.50-3.74
Ba 0.8721 0.7443 0.8179  7 Te 3.51-3.69
Ba 0.8828 0.7656 0.1890  7 Te 3.50-3.74
Cd 0.5576 0.1152 0.9411  4 Te 2.79-3.00
Cd 0.4424 0.8848 0.4411  4 Te 2.79-3.00
Dy 0.2062 0.4123 0.0165  6 Te 3.03-3.17
Dy 0.7938 0.5877 0.5165  6 Te 3.03-3.17

***

Record 4
Material: PrYHo2Er
Method: DFT, PBE-GGA
State: optimized geometry

Computed properties:
Energy relative to the elements = 389 meV/atom
Space group = Cmcm (63)

Cell: 7.2224 8.4003 7.1174 Å, 126.17 90.00 90.00°
Closest atoms and distances in Å follow each position.
Atoms (fractional coordinates):
Er 0.7500 0.7202 0.4405  1 Y 3.21, 4 Ho 3.49
Er 0.2500 0.2798 0.5595  1 Y 3.21, 4 Ho 3.49
Ho 0.0000 0.3112 0.0000  1 Ho 3.17, 2 Y 3.18, 2 Er 3.49, 2 Pr 3.55
Ho 0.5000 0.3112 0.0000  1 Ho 3.17, 2 Y 3.18, 2 Er 3.49, 2 Pr 3.55
Ho 0.5000 0.6888 0.0000  1 Ho 3.17, 2 Y 3.18, 2 Er 3.49, 2 Pr 3.55
Ho 0.0000 0.6888 0.0000  1 Ho 3.17, 2 Y 3.18, 2 Er 3.49, 2 Pr 3.55
Pr 0.2500 0.7275 0.4550  1 Y 3.13
Pr 0.7500 0.2725 0.5450  1 Y 3.13
Y 0.7500 0.9998 0.9996  1 Pr 3.13, 4 Ho 3.18, 1 Er 3.21
Y 0.2500 0.0002 0.0004  1 Pr 3.13, 4 Ho 3.18, 1 Er 3.21

***

It is found that the electronic total energy values, taken in the order of the records, are -0.26562, -0.25509, -0.29579, -0.33835 Ry/atom.